(1)
Compound: AsPNCl2
Source: the Alexandria database
Functional: PBE
Structure: optimized geometry

abc: 5.025 5.025 5.035
angles: 90.00 90.00 90.00
Each line ends with the local moment (μB).
Positions (direct):
1 P 0.000 0.000 0.500  -0.70
2 As 0.000 0.000 0.000  0.10
3 N 0.500 0.500 0.500  1.87
4 Cl 0.000 0.500 0.000  -0.04
5 Cl 0.500 0.000 0.000  -0.04

* space group: P4/mmm, No. 123
* energy above the lowest structure with this stoichiometry: 0.34 eV/f.u.


(2)
Compound: AsPNCl2
Source: the Alexandria database
Functional: PBE
Structure: optimized geometry

abc: 4.200 4.200 4.615
angles: 90.00 90.00 90.00
Positions (direct):
1 P 0.000 0.000 0.500
2 As 0.500 0.500 0.500
3 N 0.000 0.000 0.000
4 Cl 0.000 0.500 0.000
5 Cl 0.500 0.000 0.000

* space group: P4/mmm, No. 123
* energy above the lowest structure with this stoichiometry: 0.00 eV/f.u.


(3)
Compound: As2PdNCl
Source: the Alexandria database
Functional: PBE
Structure: optimized geometry

abc: 4.887 4.439 4.887
angles: 90.00 90.00 90.00
Positions (direct):
1 As 0.000 0.000 0.500
2 As 0.500 0.000 0.000
3 N 0.500 0.500 0.500
4 Pd 0.000 0.500 0.000
5 Cl 0.000 0.000 0.000

* space group: P4/mmm, No. 123


(4)
Compound: AsSNCl2
Source: the Alexandria database
Functional: PBE
Structure: optimized geometry

abc: 5.063 5.063 4.749
angles: 90.00 90.00 90.00
Each line ends with the local moment (μB).
Positions (direct):
1 As 0.000 0.000 0.000  -0.01
2 N 0.500 0.500 0.500  1.92
3 S 0.000 0.000 0.500  0.33
4 Cl 0.000 0.500 0.000  0.09
5 Cl 0.500 0.000 0.000  0.09

* space group: P4/mmm, No. 123
* energy above the lowest structure with this stoichiometry: 0.00 eV/f.u.


(5)
Compound: AsSNCl2
Source: the Alexandria database
Functional: PBE
Structure: optimized geometry

abc: 4.229 4.229 4.624
angles: 90.00 90.00 90.00
Positions (direct):
1 As 0.500 0.500 0.500
2 N 0.000 0.000 0.000
3 S 0.000 0.000 0.500
4 Cl 0.000 0.500 0.000
5 Cl 0.500 0.000 0.000

* space group: P4/mmm, No. 123
* energy above the lowest structure with this stoichiometry: 0.42 eV/f.u.


(6)
Compound: AsSN2Cl
Source: the Alexandria database
Functional: PBE
Structure: optimized geometry

abc: 3.890 3.890 4.622
angles: 90.00 90.00 90.00
Each line ends with the local moment (μB).
Positions (direct):
1 As 0.500 0.500 0.500  -0.05
2 N 0.000 0.500 0.000  0.29
3 N 0.500 0.000 0.000  0.29
4 S 0.000 0.000 0.500  0.04
5 Cl 0.000 0.000 0.000  0.01

* space group: P4/mmm, No. 123
* energy above the lowest structure with this stoichiometry: 4.31 eV/f.u.


(7)
Compound: AsSN2Cl
Source: the Alexandria database
Functional: PBE
Structure: optimized geometry

abc: 3.636 3.636 6.011
angles: 90.00 90.00 90.00
Each line ends with the local moment (μB).
Positions (direct):
1 As 0.000 0.000 0.000  -0.02
2 N 0.000 0.500 0.000  0.19
3 N 0.500 0.000 0.000  0.19
4 S 0.000 0.000 0.500  -0.01
5 Cl 0.500 0.500 0.500  0.00

* space group: P4/mmm, No. 123
* energy above the lowest structure with this stoichiometry: 0.00 eV/f.u.


(8)
Compound: AsS2NCl
Source: the Alexandria database
Functional: PBE
Structure: optimized geometry

abc: 4.756 4.756 5.104
angles: 90.00 90.00 90.00
Each line ends with the local moment (μB).
Positions (direct):
1 As 0.000 0.000 0.000  0.03
2 N 0.500 0.500 0.500  1.87
3 S 0.000 0.500 0.000  -0.20
4 S 0.500 0.000 0.000  -0.20
5 Cl 0.000 0.000 0.500  -0.02

* space group: P4/mmm, No. 123
* energy above the lowest structure with this stoichiometry: 1.13 eV/f.u.


no.,size of the total moment (μB/f.u.),formation energy without anion corrections (meV per atom)
1,1.288,1205.8
2,0.000,1137.6
3,0.000,1993.8
4,3.634,1052.4
5,0.000,1137.1
6,0.778,2250.4
7,0.482,1388.3
8,2.184,1377.9